Record 1
# Nb2ReSi2

Crystalline Nb2ReSi2 at its relaxed geometry (PBEsol, Alexandria via LeMat-Bulk).

The structure in POSCAR format:
```
Nb2ReSi2
1.0
3.534 0.000 0.000
0.000 6.478 0.000
0.000 0.000 6.478
Re Nb Si
2 4 4
direct
0.000 0.500 0.500
0.000 0.000 0.000
0.500 0.669 0.831
0.500 0.169 0.669
0.500 0.331 0.169
0.500 0.831 0.331
0.000 0.131 0.369
0.000 0.369 0.869
0.000 0.631 0.131
0.000 0.869 0.631
```

Output
crystal system	tetragonal
uncorrected formation energy	-0.542	eV per atom

=====

Record 2
# Zr2SnIrS

Crystalline Zr2SnIrS at its relaxed geometry (PBEsol, Alexandria via LeMat-Bulk).

The structure in POSCAR format:
```
Zr2SnIrS
1.0
-1.505 -3.723 1.329
3.338 -2.464 -3.124
3.524 -0.062 3.814
Zr Sn S Ir
2 1 1 1
direct
0.000 0.000 0.500
0.000 0.500 0.000
0.500 0.500 0.500
0.500 0.000 0.000
0.000 0.000 0.000
```

Output
crystal system	tetragonal
uncorrected formation energy	0.039	eV per atom

=====

Record 3
# MgAl2P

Crystalline MgAl2P at its relaxed geometry (PBEsol, Alexandria via LeMat-Bulk).

The structure in POSCAR format:
```
MgAl2P
1.0
3.382 0.000 0.000
0.000 3.382 0.000
0.000 0.000 6.032
P Mg Al
1 1 2
direct
0.500 0.500 0.809
0.000 0.000 0.504
0.000 0.000 0.967
0.500 0.500 0.220
```

Output
crystal system	tetragonal
formation energy from the elements	-0.067	eV/atom
energy above the lowest structure with this stoichiometry	8.0	kJ per mole of atoms

=====

Record 4
# TlFeIO2

Crystalline TlFeIO2 at its relaxed geometry (PBEsol, Alexandria via LeMat-Bulk).

The structure in POSCAR format:
```
TlFeIO2
1.0
-3.874 0.803 0.479
0.281 -0.946 3.861
1.421 6.032 1.375
O I Tl Fe
2 1 1 1
direct
0.500 0.000 0.000
0.000 0.500 0.000
0.000 0.000 0.000
0.000 0.000 0.500
0.500 0.500 0.500
```

Output
crystal system	tetragonal
uncorrected formation energy	0.565	eV per atom

=====

Record 5
# Mg2ZnCu

Crystalline Mg2ZnCu at its relaxed geometry (PBEsol, Alexandria via LeMat-Bulk).

The structure in POSCAR format:
```
Mg2ZnCu
1.0
3.026 0.000 0.000
0.000 4.589 -0.064
-1.513 -1.900 4.680
Mg Zn Cu
2 1 1
direct
0.764 0.280 0.528
0.976 0.958 0.952
0.527 0.505 0.054
0.233 0.757 0.466
```

Output
crystal system	monoclinic
formation energy from the elements	-0.063	eV/atom

=====

Record 6
# CdCuP2N

Crystalline CdCuP2N at its relaxed geometry (PBEsol, Alexandria via LeMat-Bulk).

The structure in POSCAR format:
```
CdCuP2N
1.0
3.751 0.000 0.000
0.000 4.304 0.000
0.000 0.000 4.304
Cd N P Cu
1 1 2 1
direct
0.500 0.500 0.500
0.000 0.000 0.000
0.000 0.500 0.000
0.000 0.000 0.500
0.500 0.000 0.000
```

Output
crystal system	tetragonal
uncorrected formation energy	0.634	eV per atom

=====

Record 7
# SrScCr2

Crystalline SrScCr2 at its relaxed geometry (PBEsol, Alexandria via LeMat-Bulk).

The structure in POSCAR format:
```
SrScCr2
1.0
3.229 0.000 0.000
0.000 4.196 0.000
0.000 0.000 6.513
Cr Sr Sc
2 1 1
direct
0.000 0.000 0.142
0.000 0.000 0.858
0.500 0.500 0.500
0.500 0.500 0.000
```

Output
crystal system	orthorhombic
formation energy from the elements	0.685	eV/atom
energy above the lowest structure with this stoichiometry	0.0	kJ per mole of atoms

=====

Record 8
# CaPtAu2

Crystalline CaPtAu2 at its relaxed geometry (PBEsol, Alexandria via LeMat-Bulk).

The structure in POSCAR format:
```
CaPtAu2
1.0
-1.874 3.244 1.544
-3.544 -1.954 -0.196
3.339 -2.190 3.337
Au Pt Ca
2 1 1
direct
0.750 0.250 0.500
0.250 0.750 0.500
0.500 0.500 0.000
0.000 0.000 0.000
```

Output
crystal system	tetragonal
formation energy from the elements	-0.521	eV/atom
energy above the lowest structure with this stoichiometry	3.7	kJ per mole of atoms

=====

Record 9
# MgReSbC2

Crystalline MgReSbC2 at its relaxed geometry (PBEsol, Alexandria via LeMat-Bulk).

The structure in POSCAR format:
```
MgReSbC2
1.0
-2.202 0.013 -3.579
3.566 -0.348 -2.195
-0.383 -5.289 0.216
Mg C Re Sb
1 2 1 1
direct
0.000 0.000 0.500
0.000 0.500 0.000
0.500 0.000 0.000
0.500 0.500 0.500
0.000 0.000 0.000
```

Output
crystal system	tetragonal
uncorrected formation energy	3.109	eV per atom

=====

Record 10
# Ho2GaRu

Crystalline Ho2GaRu at its relaxed geometry (PBEsol, Alexandria via LeMat-Bulk).

The structure in POSCAR format:
```
Ho2GaRu
1.0
3.418 0.000 0.000
0.000 3.418 0.000
0.000 0.000 6.859
Ga Ho Ru
1 2 1
direct
0.500 0.500 0.500
0.000 0.000 0.767
0.000 0.000 0.233
0.500 0.500 0.000
```

Output
crystal system	tetragonal
formation energy from the elements	-0.516	eV/atom

=====

Record 11
# K2TlCdPd

Crystalline K2TlCdPd at its relaxed geometry (PBEsol, Alexandria via LeMat-Bulk).

The structure in POSCAR format:
```
K2TlCdPd
1.0
-0.319 4.369 2.439
-5.048 -2.263 3.393
4.058 -2.240 4.543
Pd K Cd Tl
1 2 1 1
direct
0.500 0.000 0.000
0.000 0.500 0.000
0.000 0.000 0.500
0.500 0.500 0.500
0.000 0.000 0.000
```

Output
crystal system	tetragonal
formation energy from the elements	0.342	eV/atom

=====

Record 12
# BaBrF

Crystalline BaBrF at its relaxed geometry (PBEsol, Alexandria via LeMat-Bulk).

The structure in POSCAR format:
```
BaBrF
1.0
4.479 0.000 0.000
0.000 4.479 0.000
0.000 0.000 7.415
Ba F Br
2 2 2
direct
0.500 0.000 0.193
0.000 0.500 0.807
0.500 0.500 0.000
0.000 0.000 0.000
0.000 0.500 0.352
0.500 0.000 0.648
```

Output
crystal system	tetragonal
uncorrected formation energy	-3.107	eV per atom